No. 1
A plane-wave DFT calculation with SCAN was carried out for HfHgAs3 at its PBEsol-relaxed geometry.

Results
As for the total energy: -37.173 eV/atom. For the formation energy, the calculation gives 1.1096 eV per atom.

a = 4.972 Å, b = 4.972 Å, c = 4.972 Å
α = 90.00°, β = 90.00°, γ = 90.00°
Atoms (fractional coordinates):
As (0.000, 0.500, 0.000)
As (0.000, 0.000, 0.500)
As (0.500, 0.000, 0.000)
Hf (0.500, 0.500, 0.500)
Hg (0.000, 0.000, 0.000)

***

No. 2
A plane-wave DFT calculation with SCAN was carried out for KZn2P at its PBEsol-relaxed geometry.

Results
As for the total energy: -11.267 eV/atom. For the formation energy, the calculation gives 0.1724 eV per atom.

a = 2.770 Å, b = 4.664 Å, c = 5.934 Å
α = 90.00°, β = 90.00°, γ = 90.00°
Atoms (fractional coordinates):
K (0.500, 0.500, 0.500)
P (0.000, 0.500, 0.000)
Zn (0.000, 0.000, 0.216)
Zn (0.000, 0.000, 0.784)

***

No. 3
A plane-wave DFT calculation with SCAN was carried out for NbReSi at its PBEsol-relaxed geometry.

Results
The value obtained for the formation energy (no corrections) is -157 kJ/mol of formula units. As for the total energy: -38.623 eV/atom.

a = 3.280 Å, b = 6.828 Å, c = 6.828 Å
α = 120.00°, β = 90.00°, γ = 90.00°
Atoms (fractional coordinates):
Nb (0.500, 0.598, 0.598)
Nb (0.500, 0.000, 0.402)
Nb (0.500, 0.402, 0.000)
Re (0.000, 0.259, 0.259)
Re (0.000, 0.000, 0.741)
Re (0.000, 0.741, 0.000)
Si (0.000, 0.667, 0.333)
Si (0.000, 0.333, 0.667)
Si (0.500, 0.000, 0.000)

***

No. 4
A plane-wave DFT calculation with SCAN was carried out for CuBSe2 at its PBEsol-relaxed geometry.

Results
The value obtained for the formation energy (no corrections) is -69 kJ/mol of formula units. As for the total energy: -15.876 eV/atom.

a = 5.242 Å, b = 5.242 Å, c = 6.083 Å
α = 115.53°, β = 115.53°, γ = 90.00°
Atoms (fractional coordinates):
B (0.750, 0.250, 0.500)
B (0.500, 0.500, 0.000)
Se (0.420, 0.875, 0.250)
Se (0.830, 0.375, 0.250)
Se (0.125, 0.170, 0.750)
Se (0.625, 0.580, 0.750)
Cu (0.250, 0.750, 0.500)
Cu (0.000, 0.000, 0.000)

***

No. 5
A plane-wave DFT calculation with SCAN was carried out for ZrTaCr at its PBEsol-relaxed geometry.

Results
As for the total energy: -37.359 eV/atom. For the formation energy, the calculation gives 1.1966 eV per atom.

a = 4.408 Å, b = 4.408 Å, c = 4.408 Å
α = 60.00°, β = 60.00°, γ = 60.00°
Atoms (fractional coordinates):
Cr (0.000, 0.000, 0.000)
Ta (0.500, 0.500, 0.500)
Zr (0.250, 0.250, 0.250)

***

No. 6
A plane-wave DFT calculation with SCAN was carried out for Ta3SbPt at its PBEsol-relaxed geometry.

Results
The value obtained for the formation energy (no corrections) is 993 kJ/mol of formula units. As for the total energy: -59.382 eV/atom.

a = 4.870 Å, b = 4.870 Å, c = 4.870 Å
α = 90.00°, β = 90.00°, γ = 90.00°
Atoms (fractional coordinates):
Sb (0.000, 0.000, 0.000)
Pt (0.500, 0.500, 0.500)
Ta (0.000, 0.500, 0.000)
Ta (0.000, 0.000, 0.500)
Ta (0.500, 0.000, 0.000)

***

No. 7
A plane-wave DFT calculation with SCAN was carried out for LaMn2Os2 at its PBEsol-relaxed geometry.

Results
As for the total energy: -44.598 eV/atom. For the formation energy, the calculation gives 0.0766 eV per atom.

a = 4.110 Å, b = 4.110 Å, c = 5.655 Å
α = 111.31°, β = 111.31°, γ = 90.00°
Atoms (fractional coordinates):
Mn (0.383, 0.383, 0.767)
Mn (0.617, 0.617, 0.233)
Os (0.250, 0.750, 0.500)
Os (0.750, 0.250, 0.500)
La (0.000, 0.000, 0.000)

***

No. 8
A plane-wave DFT calculation with SCAN was carried out for SnBi2Sb at its PBEsol-relaxed geometry.

Results
The value obtained for the formation energy (no corrections) is 106 kJ/mol of formula units. As for the total energy: -57.311 eV/atom.

a = 6.398 Å, b = 6.398 Å, c = 9.123 Å
α = 110.53°, β = 110.53°, γ = 90.00°
Atoms (fractional coordinates):
Sb (0.250, 0.750, 0.500)
Sb (0.000, 0.000, 0.000)
Bi (0.375, 0.875, 0.250)
Bi (0.875, 0.375, 0.250)
Bi (0.125, 0.125, 0.750)
Bi (0.625, 0.625, 0.750)
Sn (0.750, 0.250, 0.500)
Sn (0.500, 0.500, 0.000)

***

No. 9
A plane-wave DFT calculation with SCAN was carried out for La2AlHg at its PBEsol-relaxed geometry.

Results
As for the total energy: -41.072 eV/atom. For the formation energy, the calculation gives -0.5396 eV per atom.

a = 3.786 Å, b = 5.024 Å, c = 5.504 Å
α = 90.00°, β = 90.00°, γ = 90.00°
Atoms (fractional coordinates):
Hg (0.500, 0.500, 0.215)
Al (0.500, 0.000, 0.543)
La (0.000, 0.000, 0.056)
La (0.000, 0.500, 0.686)

***

No. 10
A plane-wave DFT calculation with SCAN was carried out for ZrMn2RePb at its PBEsol-relaxed geometry.

Results
As for the total energy: -41.181 eV/atom. For the formation energy, the calculation gives 1.6363 eV per atom.

a = 4.733 Å, b = 4.733 Å, c = 5.334 Å
α = 90.00°, β = 90.00°, γ = 90.00°
Atoms (fractional coordinates):
Pb (0.000, 0.000, 0.000)
Re (0.500, 0.500, 0.500)
Mn (0.000, 0.500, 0.000)
Mn (0.500, 0.000, 0.000)
Zr (0.000, 0.000, 0.500)

***

No. 11
A plane-wave DFT calculation with SCAN was carried out for LaMnAu3 at its PBEsol-relaxed geometry.

Results
As for the total energy: -53.327 eV/atom. For the formation energy, the calculation gives 0.4389 eV per atom.

a = 5.436 Å, b = 5.436 Å, c = 5.436 Å
α = 90.00°, β = 90.00°, γ = 90.00°
Atoms (fractional coordinates):
Mn (0.500, 0.500, 0.500)
Au (0.000, 0.500, 0.000)
Au (0.000, 0.000, 0.500)
Au (0.500, 0.000, 0.000)
La (0.000, 0.000, 0.000)

***

No. 12
A plane-wave DFT calculation with SCAN was carried out for LiMgZn2 at its PBEsol-relaxed geometry.

Results
As for the total energy: -8.750 eV/atom. For the formation energy, the calculation gives -0.1518 eV per atom.

a = 3.939 Å, b = 3.943 Å, c = 4.917 Å
α = 113.64°, β = 113.62°, γ = 90.00°
Atoms (fractional coordinates):
Zn (0.750, 0.750, 0.500)
Zn (0.250, 0.250, 0.500)
Mg (0.000, 0.500, 0.000)
Li (0.500, 0.000, 0.000)

***

No. 13
A plane-wave DFT calculation with SCAN was carried out for Re2PbCS at its PBEsol-relaxed geometry.

Results
The value obtained for the formation energy (no corrections) is 1728 kJ/mol of formula units. As for the total energy: -43.959 eV/atom.

a = 4.149 Å, b = 5.129 Å, c = 5.129 Å
α = 90.00°, β = 90.00°, γ = 90.00°
Atoms (fractional coordinates):
Pb (0.000, 0.000, 0.000)
Re (0.000, 0.000, 0.500)
Re (0.000, 0.500, 0.000)
S (0.500, 0.500, 0.500)
C (0.500, 0.000, 0.000)

***

No. 14
A plane-wave DFT calculation with SCAN was carried out for Re3As at its PBEsol-relaxed geometry.

Results
As for the total energy: -57.933 eV/atom. For the formation energy, the calculation gives 0.4379 eV per atom.

a = 4.368 Å, b = 4.368 Å, c = 4.368 Å
α = 60.00°, β = 60.00°, γ = 60.00°
Atoms (fractional coordinates):
Re (0.250, 0.250, 0.250)
Re (0.500, 0.500, 0.500)
Re (0.750, 0.750, 0.750)
As (0.000, 0.000, 0.000)

***

No. 15
A plane-wave DFT calculation with SCAN was carried out for Sr2ReBr at its PBEsol-relaxed geometry.

Results
The value obtained for the formation energy (no corrections) is 221 kJ/mol of formula units. As for the total energy: -33.205 eV/atom.

a = 3.579 Å, b = 3.579 Å, c = 9.450 Å
α = 90.00°, β = 90.00°, γ = 90.00°
Atoms (fractional coordinates):
Re (0.500, 0.500, 0.734)
Br (0.000, 0.000, 0.503)
Sr (0.000, 0.000, 0.937)
Sr (0.500, 0.500, 0.325)

***

No. 16
A plane-wave DFT calculation with SCAN was carried out for ZnTc at its PBEsol-relaxed geometry.

Results
As for the total energy: -24.356 eV/atom. For the formation energy, the calculation gives -0.0687 eV per atom.

a = 2.732 Å, b = 2.732 Å, c = 8.620 Å
α = 90.00°, β = 90.00°, γ = 120.00°
Atoms (fractional coordinates):
Zn (0.667, 0.333, 0.626)
Zn (0.333, 0.667, 0.374)
Tc (0.667, 0.333, 0.117)
Tc (0.333, 0.667, 0.883)

***

No. 17
A plane-wave DFT calculation with SCAN was carried out for Li2VGaO4 at its PBEsol-relaxed geometry.

Results
The value obtained for the formation energy (no corrections) is -1818 kJ/mol of formula units. As for the total energy: -10.297 eV/atom.

a = 5.074 Å, b = 5.881 Å, c = 7.616 Å
α = 79.20°, β = 71.66°, γ = 90.01°
Atoms (fractional coordinates):
Li (0.502, 0.411, 0.833)
Li (0.498, 0.589, 0.167)
Li (0.499, 0.250, 0.501)
Li (0.501, 0.750, 0.499)
Li (0.501, 0.909, 0.832)
Li (0.499, 0.091, 0.168)
V (0.000, 0.000, 0.500)
V (0.000, 0.151, 0.836)
V (0.000, 0.849, 0.164)
Ga (0.000, 0.500, 0.500)
Ga (0.002, 0.657, 0.833)
Ga (0.998, 0.343, 0.167)
O (0.766, 0.869, 0.995)
O (0.234, 0.131, 0.005)
O (0.775, 0.372, 0.995)
O (0.225, 0.628, 0.005)
O (0.768, 0.055, 0.327)
O (0.232, 0.945, 0.673)
O (0.774, 0.553, 0.327)
O (0.226, 0.447, 0.673)
O (0.771, 0.208, 0.662)
O (0.229, 0.792, 0.338)
O (0.774, 0.705, 0.662)
O (0.226, 0.295, 0.338)

***

No. 18
A plane-wave DFT calculation with SCAN was carried out for KP2I at its PBEsol-relaxed geometry.

Results
The value obtained for the formation energy (no corrections) is 342 kJ/mol of formula units. As for the total energy: -15.580 eV/atom.

a = 5.120 Å, b = 5.120 Å, c = 5.120 Å
α = 60.00°, β = 60.00°, γ = 60.00°
Atoms (fractional coordinates):
I (0.500, 0.500, 0.500)
P (0.250, 0.250, 0.250)
P (0.750, 0.750, 0.750)
K (0.000, 0.000, 0.000)

***

No. 19
A plane-wave DFT calculation with SCAN was carried out for ReSbAs2 at its PBEsol-relaxed geometry.

Results
The value obtained for the formation energy (no corrections) is 186 kJ/mol of formula units. As for the total energy: -36.702 eV/atom.

a = 3.653 Å, b = 4.565 Å, c = 4.665 Å
α = 90.00°, β = 90.00°, γ = 101.06°
Atoms (fractional coordinates):
Re (0.000, 0.500, 0.500)
As (0.210, 0.314, 0.000)
As (0.790, 0.686, 0.000)
Sb (0.500, 0.000, 0.500)

***

No. 20
A plane-wave DFT calculation with SCAN was carried out for BaYTe2I at its PBEsol-relaxed geometry.

Results
The value obtained for the formation energy (no corrections) is -101 kJ/mol of formula units. As for the total energy: -35.936 eV/atom.

a = 6.090 Å, b = 6.276 Å, c = 6.276 Å
α = 90.00°, β = 90.00°, γ = 90.00°
Atoms (fractional coordinates):
I (0.500, 0.000, 0.000)
Y (0.500, 0.500, 0.500)
Te (0.000, 0.000, 0.500)
Te (0.000, 0.500, 0.000)
Ba (0.000, 0.000, 0.000)

***

No. 21
A plane-wave DFT calculation with SCAN was carried out for GdTiGe at its PBEsol-relaxed geometry.

Results
As for the total energy: -32.082 eV/atom. For the formation energy, the calculation gives -0.7704 eV per atom.

a = 4.014 Å, b = 4.014 Å, c = 7.677 Å
α = 90.00°, β = 90.00°, γ = 90.00°
Atoms (fractional coordinates):
Gd (0.000, 0.500, 0.348)
Gd (0.500, 0.000, 0.652)
Ti (0.500, 0.500, 0.000)
Ti (0.000, 0.000, 0.000)
Ge (0.500, 0.000, 0.237)
Ge (0.000, 0.500, 0.763)

***

No. 22
A plane-wave DFT calculation with SCAN was carried out for Li4Fe3Cu2Sn3O16 at its PBEsol-relaxed geometry.

Results
The value obtained for the formation energy (no corrections) is -4283 kJ/mol of formula units. As for the total energy: -12.364 eV/atom.

a = 5.922 Å, b = 5.928 Å, c = 9.692 Å
α = 82.77°, β = 90.00°, γ = 119.97°
Atoms (fractional coordinates):
Cu (0.366, 0.732, 0.538)
Cu (0.664, 0.328, 0.993)
Li (0.320, 0.641, 0.891)
Li (0.021, 0.042, 0.991)
Li (0.091, 0.183, 0.469)
Li (0.625, 0.251, 0.397)
Sn (0.638, 0.778, 0.220)
Sn (0.140, 0.778, 0.220)
Sn (0.850, 0.700, 0.708)
O (0.729, 0.942, 0.601)
O (0.450, 0.901, 0.343)
O (0.315, 0.629, 0.099)
O (0.975, 0.950, 0.325)
O (0.013, 0.026, 0.811)
O (0.213, 0.942, 0.601)
O (0.419, 0.402, 0.323)
O (0.983, 0.402, 0.323)
O (0.840, 0.679, 0.092)
O (0.190, 0.381, 0.627)
O (0.954, 0.459, 0.835)
O (0.504, 0.459, 0.835)
O (0.685, 0.370, 0.606)
O (0.845, 0.157, 0.101)
O (0.513, 0.027, 0.816)
O (0.312, 0.157, 0.101)
Fe (0.145, 0.290, 0.207)
Fe (0.840, 0.197, 0.717)
Fe (0.357, 0.197, 0.717)

***

No. 23
A plane-wave DFT calculation with SCAN was carried out for LaP2Ru at its PBEsol-relaxed geometry.

Results
As for the total energy: -25.052 eV/atom. For the formation energy, the calculation gives -0.3701 eV per atom.

a = 4.603 Å, b = 4.603 Å, c = 4.603 Å
α = 60.00°, β = 60.00°, γ = 60.00°
Atoms (fractional coordinates):
La (0.500, 0.500, 0.500)
P (0.250, 0.250, 0.250)
P (0.750, 0.750, 0.750)
Ru (0.000, 0.000, 0.000)

***

No. 24
A plane-wave DFT calculation with SCAN was carried out for CeIn2Rh at its PBEsol-relaxed geometry.

Results
As for the total energy: -36.976 eV/atom. For the formation energy, the calculation gives -0.6986 eV per atom.

a = 4.580 Å, b = 5.442 Å, c = 7.590 Å
α = 90.00°, β = 90.00°, γ = 114.89°
Atoms (fractional coordinates):
Rh (0.812, 0.624, 0.250)
Rh (0.188, 0.376, 0.750)
Ce (0.933, 0.866, 0.750)
Ce (0.067, 0.134, 0.250)
In (0.356, 0.712, 0.453)
In (0.644, 0.288, 0.547)
In (0.356, 0.712, 0.047)
In (0.644, 0.288, 0.953)

***

No. 25
A plane-wave DFT calculation with SCAN was carried out for Sb2AsBr at its PBEsol-relaxed geometry.

Results
The value obtained for the formation energy (no corrections) is 8 kJ/mol of formula units. As for the total energy: -28.523 eV/atom.

a = 3.890 Å, b = 4.744 Å, c = 7.059 Å
α = 68.69°, β = 74.01°, γ = 65.80°
Atoms (fractional coordinates):
Sb (0.247, 0.821, 0.685)
Sb (0.753, 0.179, 0.315)
As (0.000, 0.500, 0.500)
Br (0.500, 0.000, 0.000)

***

No. 26
A plane-wave DFT calculation with SCAN was carried out for KLi2Hg at its PBEsol-relaxed geometry.

Results
As for the total energy: -20.541 eV/atom. For the formation energy, the calculation gives -0.2225 eV per atom.

a = 4.702 Å, b = 4.702 Å, c = 6.719 Å
α = 69.52°, β = 69.52°, γ = 60.00°
Atoms (fractional coordinates):
Hg (0.500, 0.500, 0.500)
K (0.000, 0.000, 0.000)
Li (0.196, 0.196, 0.412)
Li (0.804, 0.804, 0.588)